{"formula": "BaCa2C2O6F2", "functional": "PBE-GGA", "state": "optimized geometry", "cell": [[-0.2495, 3.8780, -5.8061], [-4.3352, -0.0970, 5.4780], [5.2505, 6.7375, 4.2744]], "species": ["Ba", "Ba", "C", "C", "C", "C", "Ca", "Ca", "Ca", "Ca", "F", "F", "F", "F", "O", "O", "O", "O", "O", "O", "O", "O", "O", "O", "O", "O"], "frac_coords": [[0.9983, 0.9983, 0.7500], [0.0017, 0.0017, 0.2500], [0.4111, 0.9034, 0.2500], [0.5889, 0.0966, 0.7500], [0.9034, 0.4111, 0.2500], [0.0966, 0.5889, 0.7500], [0.3536, 0.6464, 0.5000], [0.6464, 0.3536, 0.0000], [0.6464, 0.3536, 0.5000], [0.3536, 0.6464, 0.0000], [0.7339, 0.7339, 0.5079], [0.2661, 0.2661, 0.0079], [0.7339, 0.7339, 0.9921], [0.2661, 0.2661, 0.4921], [0.3653, 0.9591, 0.3678], [0.6347, 0.0409, 0.8678], [0.9591, 0.3653, 0.1322], [0.0409, 0.6347, 0.6322], [0.6347, 0.0409, 0.6322], [0.3653, 0.9591, 0.1322], [0.0409, 0.6347, 0.8678], [0.9591, 0.3653, 0.3678], [0.4922, 0.7785, 0.2500], [0.5078, 0.2215, 0.7500], [0.7785, 0.4922, 0.2500], [0.2215, 0.5078, 0.7500]], "crystal_system": "orthorhombic", "spacegroup": "Cmcm"}



{"formula": "Ba3CaC2N6", "functional": "PBE-GGA", "state": "optimized geometry", "cell": [[-3.5535, 2.3889, 3.9904], [-1.7447, -0.4654, -5.5675], [-2.7034, -6.3189, 1.3754]], "species": ["Ba", "Ba", "Ba", "Ca", "C", "C", "N", "N", "N", "N", "N", "N"], "frac_coords": [[0.3333, 0.6667, 0.6740], [0.6667, 0.3333, 0.3260], [0.0000, 0.0000, 0.0000], [0.0000, 0.0000, 0.5000], [0.6667, 0.3333, 0.7236], [0.3333, 0.6667, 0.2764], [0.6022, 0.8011, 0.2852], [0.1989, 0.3978, 0.2852], [0.1989, 0.8011, 0.2852], [0.8011, 0.6022, 0.7148], [0.3978, 0.1989, 0.7148], [0.8011, 0.1989, 0.7148]], "crystal_system": "trigonal", "spacegroup": "P-3m1"}



Listing formation energy (no corrections) for the structures above in their given order: -255.3; -50.1 kJ per mole of atoms.
Listing energy for the structures above in their given order: -7.097; -6.867 eV/atom.